# 1
Material: CeTm5Sb5
Method: DFT, PBE
State: optimized geometry

Its uncorrected formation energy is -82 kJ per mole of atoms.

The space group is C2/m (No. 12) and the conventional cell measures 13.579, 6.130 and 8.613 Å, with angles of 90.00, 108.12 and 90.00 degrees. The asymmetric unit holds Ce at (0.000, 0.000, 0.000), Tm at (0.000, 0.000, 0.500), Tm at (0.161, 0.500, 0.336), Tm at (0.167, 0.500, 0.833), Sb at (0.000, 0.500, 0.000), Sb at (0.169, 0.000, 0.341) and Sb at (0.171, 0.000, 0.827).

# 2
Material: CeTm3Sb3
Method: DFT, PBE
State: optimized geometry

Its uncorrected formation energy is -73 kJ per mole of atoms.

The space group is P6_3/m (No. 176) and the conventional cell measures 9.0071, 9.0071 and 5.6338 Å, with angles of 90.00, 90.00 and 120.00 degrees. The asymmetric unit holds Ce at (0.3333, 0.6667, 0.2500), Tm at (0.0166, 0.2483, 0.2500) and Sb at (0.0612, 0.4243, 0.7500).

# 3
Material: Ce2Tm2Sb5
Method: DFT, PBE
State: optimized geometry

Its uncorrected formation energy is -83 kJ per mole of atoms.

The space group is Cmce (No. 64) and the conventional cell measures 15.501, 8.166 and 8.186 Å, with angles of 90.00, 90.00 and 90.00 degrees. The asymmetric unit holds Ce at (0.192, 0.000, 0.000), Tm at (0.000, 0.152, 0.346), Sb at (0.000, 0.000, 0.000) and Sb at (0.137, 0.152, 0.650).

# 4
Material: CeTmSb
Method: DFT, PBE
State: optimized geometry

Its uncorrected formation energy is -39 kJ per mole of atoms.

The space group is P3m1 (No. 156) and the conventional cell measures 5.0985, 5.0985 and 3.9795 Å, with angles of 90.00, 90.00 and 120.00 degrees. The asymmetric unit holds Ce at (0.0000, 0.0000, 0.0000), Tm at (0.6667, 0.3333, 0.4930) and Sb at (0.3333, 0.6667, 0.5259).

# 5
Material: CeTm2Sb
Method: DFT, PBE
State: optimized geometry

The value obtained for the energy above the most stable polymorph in this dataset is 0.167 eV/f.u. Its uncorrected formation energy is -40 kJ per mole of atoms.

The space group is P4/mmm (No. 123) and the conventional cell measures 3.893, 3.893 and 7.215 Å, with angles of 90.00, 90.00 and 90.00 degrees. The asymmetric unit holds Ce at (0.000, 0.000, 0.000), Tm at (0.500, 0.500, 0.276) and Sb at (0.000, 0.000, 0.500).

# 6
Material: CeTmSb
Method: DFT, PBE
State: optimized geometry

Its uncorrected formation energy is -53 kJ per mole of atoms.

The space group is I4mm (No. 107) and the conventional cell measures 3.992, 3.992 and 10.610 Å, with angles of 90.00, 90.00 and 90.00 degrees. The asymmetric unit holds Ce at (0.000, 0.000, 0.000), Tm at (0.000, 0.000, 0.301) and Sb at (0.000, 0.000, 0.665).